# 1
A plane-wave DFT calculation with GGA-PBEsol was carried out for crystalline Sb17S27 at its relaxed geometry.

Values from the calculation:
Space-group type: P1 (1)
E_tot: -205.34 eV for the cell shown

```
data_Sb17S27
_space_group_name_H-M_alt 'P 1'
_space_group_IT_number 1
_cell_length_a 8.6227
_cell_length_b 8.6352
_cell_length_c 14.9361
_cell_angle_alpha 103.67
_cell_angle_beta 94.82
_cell_angle_gamma 95.95
loop_
_space_group_symop_operation_xyz
'x,y,z'
loop_
_atom_site_label
_atom_site_type_symbol
_atom_site_fract_x
_atom_site_fract_y
_atom_site_fract_z
S1 S 0.5114 0.1986 0.5397
Sb1 Sb 0.9610 0.6820 0.9384
S2 S 0.3233 0.3553 0.9996
Sb2 Sb 0.5374 0.6651 0.8006
S3 S 0.8581 0.0972 0.4326
Sb3 Sb 0.6237 0.3458 0.9272
S4 S 0.1717 0.3213 0.2323
S5 S 0.8391 0.7066 0.7738
S6 S 0.1679 0.4528 0.4640
Sb4 Sb 0.0937 0.5978 0.6167
Sb5 Sb 0.0477 0.3424 0.0646
S7 S 0.0947 0.6627 0.1246
S8 S 0.5075 0.7834 0.4593
Sb6 Sb 0.4658 0.3317 0.1936
Sb7 Sb 0.7129 0.0097 0.0664
S9 S 0.7859 0.9637 0.6317
S10 S 0.8021 0.5028 0.5362
S11 S 0.7626 0.3296 0.1297
S12 S 0.5781 0.0276 0.8744
Sb8 Sb 0.3789 0.6694 0.0652
Sb9 Sb 0.8037 0.2287 0.5828
Sb10 Sb 0.7962 0.6683 0.2020
S13 S 0.1749 0.0044 0.7661
Sb11 Sb 0.1398 0.0095 0.2006
S14 S 0.1528 0.8681 0.5409
S15 S 0.2478 0.6933 0.8875
S16 S 0.0408 0.3356 0.6804
S17 S 0.5329 0.3692 0.7689
Sb12 Sb 0.5346 0.0359 0.3763
S18 S 0.4331 0.6276 0.6374
S19 S 0.9135 0.3685 0.8940
S20 S 0.8791 0.6882 0.3669
Sb13 Sb 0.2914 0.0061 0.9235
S21 S 0.8346 0.9865 0.2273
Sb14 Sb 0.8735 0.3797 0.3762
Sb15 Sb 0.4416 0.9217 0.6143
S22 S 0.4300 0.9973 0.1292
S23 S 0.5004 0.6515 0.2314
S24 S 0.0002 0.0147 0.0013
S25 S 0.2233 0.0219 0.3653
Sb16 Sb 0.8946 0.0141 0.7980
Sb17 Sb 0.2104 0.7063 0.3900
S26 S 0.6696 0.6806 0.0030
S27 S 0.5503 0.3432 0.3569
```


# 2
A plane-wave DFT calculation with GGA-PBEsol was carried out for crystalline RbTeAu at its relaxed geometry.

Values from the calculation:
Space-group type: P6_3/mmc (194)
E_tot: -20.72 eV for the cell shown

```
data_RbTeAu
_space_group_name_H-M_alt 'P 1'
_space_group_IT_number 1
_cell_length_a 4.6787
_cell_length_b 4.6787
_cell_length_c 10.3636
_cell_angle_alpha 90.00
_cell_angle_beta 90.00
_cell_angle_gamma 120.00
loop_
_space_group_symop_operation_xyz
'x,y,z'
loop_
_atom_site_label
_atom_site_type_symbol
_atom_site_fract_x
_atom_site_fract_y
_atom_site_fract_z
Au1 Au 0.6667 0.3333 0.7500
Au2 Au 0.3333 0.6667 0.2500
Rb1 Rb 0.0000 0.0000 0.0000
Te1 Te 0.3333 0.6667 0.7500
Te2 Te 0.6667 0.3333 0.2500
Rb2 Rb 0.0000 0.0000 0.5000
```


# 3
A plane-wave DFT calculation with GGA-PBEsol was carried out for crystalline KAsW at its relaxed geometry.

Values from the calculation:
Calculated formation energy: 0.581 eV/atom
Space-group type: P3m1 (156)

```
data_KAsW
_space_group_name_H-M_alt 'P 1'
_space_group_IT_number 1
_cell_length_a 3.1492
_cell_length_b 3.1492
_cell_length_c 7.4324
_cell_angle_alpha 90.00
_cell_angle_beta 90.00
_cell_angle_gamma 120.00
loop_
_space_group_symop_operation_xyz
'x,y,z'
loop_
_atom_site_label
_atom_site_type_symbol
_atom_site_fract_x
_atom_site_fract_y
_atom_site_fract_z
W1 W 0.6667 0.3333 0.2742
As1 As 0.0000 0.0000 0.0438
K1 K 0.3333 0.6667 0.6820
```


# 4
A plane-wave DFT calculation with GGA-PBEsol was carried out for crystalline NdCu5Sn at its relaxed geometry.

Values from the calculation:
Calculated formation energy: -0.263 eV/atom
Space-group type: Pnma (62)

```
data_NdCu5Sn
_space_group_name_H-M_alt 'P 1'
_space_group_IT_number 1
_cell_length_a 4.9722
_cell_length_b 8.2054
_cell_length_c 10.4914
_cell_angle_alpha 90.00
_cell_angle_beta 90.00
_cell_angle_gamma 90.00
loop_
_space_group_symop_operation_xyz
'x,y,z'
loop_
_atom_site_label
_atom_site_type_symbol
_atom_site_fract_x
_atom_site_fract_y
_atom_site_fract_z
Sn1 Sn 0.7500 0.3607 0.3604
Cu1 Cu 0.5003 0.5697 0.1881
Cu2 Cu 0.7500 0.5818 0.9832
Cu3 Cu 0.9997 0.0697 0.3119
Cu4 Cu 0.2500 0.9182 0.4832
Cu5 Cu 0.4997 0.9303 0.6881
Cu6 Cu 0.7500 0.1806 0.7433
Nd1 Nd 0.2500 0.2537 0.5602
Cu7 Cu 0.0003 0.9303 0.6881
Cu8 Cu 0.4997 0.4303 0.8119
Cu9 Cu 0.7500 0.6806 0.7567
Nd2 Nd 0.7500 0.7463 0.4398
Cu10 Cu 0.7500 0.0818 0.5168
Cu11 Cu 0.2500 0.3194 0.2433
Cu12 Cu 0.0003 0.4303 0.8119
Nd3 Nd 0.2500 0.7537 0.9398
Cu13 Cu 0.2500 0.8194 0.2567
Sn2 Sn 0.2500 0.6393 0.6396
Cu14 Cu 0.7500 0.9386 0.8957
Sn3 Sn 0.2500 0.1393 0.8604
Nd4 Nd 0.7500 0.2463 0.0602
Cu15 Cu 0.9997 0.5697 0.1881
Cu16 Cu 0.2500 0.4182 0.0168
Cu17 Cu 0.7500 0.4386 0.6043
Sn4 Sn 0.7500 0.8607 0.1396
Cu18 Cu 0.2500 0.5614 0.3957
Cu19 Cu 0.2500 0.0614 0.1043
Cu20 Cu 0.5003 0.0697 0.3119
```


# 5
A plane-wave DFT calculation with GGA-PBEsol was carried out for crystalline RbPIO2 at its relaxed geometry.

Values from the calculation:
Space-group type: P4/mmm (123)
E_tot: -13.52 eV for the cell shown

```
data_RbPIO2
_space_group_name_H-M_alt 'P 1'
_space_group_IT_number 1
_cell_length_a 4.6096
_cell_length_b 4.6096
_cell_length_c 7.1885
_cell_angle_alpha 90.00
_cell_angle_beta 90.00
_cell_angle_gamma 90.00
loop_
_space_group_symop_operation_xyz
'x,y,z'
loop_
_atom_site_label
_atom_site_type_symbol
_atom_site_fract_x
_atom_site_fract_y
_atom_site_fract_z
O1 O 0.0000 0.5000 0.0000
O2 O 0.5000 0.0000 0.0000
Rb1 Rb 0.0000 0.0000 0.0000
I1 I 0.0000 0.0000 0.5000
P1 P 0.5000 0.5000 0.5000
```


# 6
A plane-wave DFT calculation with GGA-PBEsol was carried out for crystalline Ba4AlFe at its relaxed geometry.

Values from the calculation:
Calculated formation energy: 0.981 eV/atom
Space-group type: F-43m (216)

```
data_Ba4AlFe
_space_group_name_H-M_alt 'P 1'
_space_group_IT_number 1
_cell_length_a 6.8999
_cell_length_b 6.8999
_cell_length_c 6.8999
_cell_angle_alpha 60.00
_cell_angle_beta 60.00
_cell_angle_gamma 60.00
loop_
_space_group_symop_operation_xyz
'x,y,z'
loop_
_atom_site_label
_atom_site_type_symbol
_atom_site_fract_x
_atom_site_fract_y
_atom_site_fract_z
Fe1 Fe 0.7500 0.7500 0.7500
Ba1 Ba 0.3750 0.3750 0.3750
Ba2 Ba 0.3750 0.3750 0.8751
Ba3 Ba 0.3750 0.8751 0.3750
Ba4 Ba 0.8751 0.3750 0.3750
Al1 Al 0.0000 0.0000 0.0000
```


# 7
A plane-wave DFT calculation with GGA-PBEsol was carried out for crystalline CdFe3Si at its relaxed geometry.

Values from the calculation:
Space-group type: Pm-3m (221)
E_tot: -24.44 eV for the cell shown

```
data_CdFe3Si
_space_group_name_H-M_alt 'P 1'
_space_group_IT_number 1
_cell_length_a 4.6316
_cell_length_b 4.6316
_cell_length_c 4.6316
_cell_angle_alpha 90.00
_cell_angle_beta 90.00
_cell_angle_gamma 90.00
loop_
_space_group_symop_operation_xyz
'x,y,z'
loop_
_atom_site_label
_atom_site_type_symbol
_atom_site_fract_x
_atom_site_fract_y
_atom_site_fract_z
Si1 Si 0.5000 0.5000 0.5000
Fe1 Fe 0.5000 0.0000 0.0000
Fe2 Fe 0.0000 0.5000 0.0000
Fe3 Fe 0.0000 0.0000 0.5000
Cd1 Cd 0.0000 0.0000 0.0000
```


# 8
A plane-wave DFT calculation with GGA-PBEsol was carried out for crystalline MgSc2Cl at its relaxed geometry.

Values from the calculation:
Energy above the most stable polymorph in this dataset: 28 kJ/mol of formula units
Space-group type: P4mm (99)

```
data_MgSc2Cl
_space_group_name_H-M_alt 'P 1'
_space_group_IT_number 1
_cell_length_a 3.2000
_cell_length_b 3.2000
_cell_length_c 9.1925
_cell_angle_alpha 90.00
_cell_angle_beta 90.00
_cell_angle_gamma 90.00
loop_
_space_group_symop_operation_xyz
'x,y,z'
loop_
_atom_site_label
_atom_site_type_symbol
_atom_site_fract_x
_atom_site_fract_y
_atom_site_fract_z
Cl1 Cl 0.0000 0.0000 0.4333
Mg1 Mg 0.5000 0.5000 0.7782
Sc1 Sc 0.5000 0.5000 0.2688
Sc2 Sc 0.0000 0.0000 0.0197
```


# 9
A plane-wave DFT calculation with GGA-PBEsol was carried out for crystalline Mn2PRh at its relaxed geometry.

Values from the calculation:
Calculated formation energy: -0.212 eV/atom
Space-group type: F-43m (216)

```
data_Mn2PRh
_space_group_name_H-M_alt 'P 1'
_space_group_IT_number 1
_cell_length_a 4.0385
_cell_length_b 4.0385
_cell_length_c 4.0385
_cell_angle_alpha 60.00
_cell_angle_beta 60.00
_cell_angle_gamma 60.00
loop_
_space_group_symop_operation_xyz
'x,y,z'
loop_
_atom_site_label
_atom_site_type_symbol
_atom_site_fract_x
_atom_site_fract_y
_atom_site_fract_z
P1 P 0.5000 0.5000 0.5000
Mn1 Mn 0.2500 0.2500 0.2500
Mn2 Mn 0.0000 0.0000 0.0000
Rh1 Rh 0.7500 0.7500 0.7500
```


# 10
A plane-wave DFT calculation with GGA-PBEsol was carried out for crystalline Tl3Cd at its relaxed geometry.

Values from the calculation:
Calculated formation energy: 0.055 eV/atom
Space-group type: Pmm2 (25)

```
data_Tl3Cd
_space_group_name_H-M_alt 'P 1'
_space_group_IT_number 1
_cell_length_a 3.5240
_cell_length_b 5.4232
_cell_length_c 5.5768
_cell_angle_alpha 90.00
_cell_angle_beta 90.00
_cell_angle_gamma 90.00
loop_
_space_group_symop_operation_xyz
'x,y,z'
loop_
_atom_site_label
_atom_site_type_symbol
_atom_site_fract_x
_atom_site_fract_y
_atom_site_fract_z
Tl1 Tl 0.5000 0.0000 0.4744
Tl2 Tl 0.5000 0.5000 0.8628
Tl3 Tl 0.0000 0.5000 0.3572
Cd1 Cd 0.0000 0.0000 0.9722
```


# 11
A plane-wave DFT calculation with GGA-PBEsol was carried out for crystalline YZrPt at its relaxed geometry.

Values from the calculation:
Calculated formation energy: 0.296 eV/atom
Space-group type: F-43m (216)

```
data_YZrPt
_space_group_name_H-M_alt 'P 1'
_space_group_IT_number 1
_cell_length_a 4.5775
_cell_length_b 4.5775
_cell_length_c 4.5775
_cell_angle_alpha 60.00
_cell_angle_beta 60.00
_cell_angle_gamma 60.00
loop_
_space_group_symop_operation_xyz
'x,y,z'
loop_
_atom_site_label
_atom_site_type_symbol
_atom_site_fract_x
_atom_site_fract_y
_atom_site_fract_z
Pt1 Pt 0.5000 0.5000 0.5000
Zr1 Zr 0.0000 0.0000 0.0000
Y1 Y 0.2500 0.2500 0.2500
```


# 12
A plane-wave DFT calculation with GGA-PBEsol was carried out for crystalline LiSb2Te at its relaxed geometry.

Values from the calculation:
Space-group type: R-3m (166)
E_tot: -14.46 eV for the cell shown

```
data_LiSb2Te
_space_group_name_H-M_alt 'P 1'
_space_group_IT_number 1
_cell_length_a 3.3312
_cell_length_b 3.3312
_cell_length_c 10.1093
_cell_angle_alpha 80.52
_cell_angle_beta 80.52
_cell_angle_gamma 60.00
loop_
_space_group_symop_operation_xyz
'x,y,z'
loop_
_atom_site_label
_atom_site_type_symbol
_atom_site_fract_x
_atom_site_fract_y
_atom_site_fract_z
Li1 Li 0.0000 0.0000 0.0000
Sb1 Sb 0.7421 0.7421 0.7736
Te1 Te 0.5000 0.5000 0.5000
Sb2 Sb 0.2579 0.2579 0.2264
```


no.,V (Å³ per atom)
1,24.27
2,32.74
3,21.28
4,15.29
5,30.55
6,38.71
7,19.87
8,23.53
9,11.64
10,26.64
11,22.61
12,23.84